[1]
First-principles (GGA-PBE) data for a geometry-optimized DyNbNiOs structure, as listed in Alexandria.

Summary:
ΔH_f (0 K): -0.5 eV per formula unit
density of states at the Fermi level: 0.768 states/eV per atom
total magnetic moment: 0.00 μB per cell
SG: No. 216
theoretical density: 12059 kg/m³

Lattice parameters (Å, degrees): 4.6138 4.6138 4.6138 60.00 60.00 60.00
Last column: nearest neighbours and their distance in Å.
Atoms (fractional coordinates):
Dy: 0.0000 0.0000 0.0000  4 Os 2.83, 4 Ni 2.83
Nb: 0.5000 0.5000 0.5000  4 Ni 2.83, 4 Os 2.83
Ni: 0.2500 0.2500 0.2500  4 Nb 2.83, 4 Dy 2.83
Os: 0.7500 0.7500 0.7500  4 Nb 2.83, 4 Dy 2.83

[2]
First-principles (GGA-PBE) data for a geometry-optimized AlInBi structure, as listed in Alexandria.

Summary:
ΔH_f (0 K): 0.4 eV per formula unit
density of states at the Fermi level: 0.400 states/eV per atom
total magnetic moment: 0.00 μB per cell
SG: No. 1
theoretical density: 6974 kg/m³
offset from the most stable computed form: 0.03 eV/f.u.

Lattice parameters (Å, degrees): 4.4640 4.9142 8.0140 72.45 85.47 89.96
Last column: nearest neighbours and their distance in Å.
Atoms (fractional coordinates):
Al: 0.0000 0.0000 0.0000  2 Al 2.74, 2 Bi 2.88-2.99, 2 In 3.03-3.06
Al: 0.2711 0.5185 0.9628  2 Al 2.74, 2 Bi 2.88-3.00, 2 In 3.01-3.05
In: 0.3113 0.0322 0.6405  2 Al 3.01-3.06, 1 In 3.02, 2 Bi 3.24-3.32
In: 0.9556 0.2048 0.3215  1 In 3.02, 2 Al 3.03-3.05, 2 Bi 3.23-3.31
Bi: 0.5016 0.7317 0.2436  3 Al 2.88-3.11
Bi: 0.7679 0.4836 0.7192  3 Al 2.88-3.13

[3]
First-principles (GGA-PBE) data for a geometry-optimized La4Pm5Tm2 structure, as listed in Alexandria.

Summary:
ΔH_f (0 K): 2.8 eV per formula unit
density of states at the Fermi level: 1.425 states/eV per atom
total magnetic moment: 0.00 μB per cell
SG: No. 71
theoretical density: 6905 kg/m³
offset from the most stable computed form: 2.07 eV/f.u.

Lattice parameters (Å, degrees): 12.6047 12.6047 12.6047 163.88 135.48 47.65
Last column: nearest neighbours and their distance in Å.
Atoms (fractional coordinates):
La: 0.0932 0.0932 0.0000  1 Tm 3.12, 4 La 3.43
La: 0.2108 0.5000 0.7108  4 Pm 3.28-3.63, 6 La 3.43-3.53
La: 0.7892 0.5000 0.2892  4 Pm 3.28-3.63, 6 La 3.43-3.53
La: 0.9068 0.9068 0.0000  1 Tm 3.12, 4 La 3.43
Pm: 0.1412 0.3466 0.7946  3 Tm 3.36-3.75, 2 Pm 3.53, 3 La 3.60-3.63
Pm: 0.4479 0.6534 0.7946  3 Tm 3.36-3.75, 2 Pm 3.53, 3 La 3.60-3.63
Pm: 0.5000 0.0000 0.5000  4 La 3.28, 2 Pm 3.53
Pm: 0.5521 0.3466 0.2054  3 Tm 3.36-3.75, 2 Pm 3.53, 3 La 3.60-3.63
Pm: 0.8588 0.6534 0.2054  3 Tm 3.36-3.75, 2 Pm 3.53, 3 La 3.60-3.63
Tm: 0.2285 0.2285 0.0000  1 La 3.12, 2 Pm 3.36
Tm: 0.7715 0.7715 0.0000  1 La 3.12, 2 Pm 3.36

[4]
First-principles (GGA-PBE) data for a geometry-optimized Tm2FeSi4Pt3 structure, as listed in Alexandria.

Summary:
density of states at the Fermi level: 0.297 states/eV per atom
formation energy (no corrections): -0.979 eV per atom
total magnetic moment: 0.00 μB per cell
SG: No. 115
theoretical density: 10979 kg/m³

Lattice parameters (Å, degrees): 4.0434 4.0434 10.0955 90.00 90.00 90.00
Last column: nearest neighbours and their distance in Å.
Atoms (fractional coordinates):
Tm: 0.0000 0.5000 0.2434  8 Si 3.09-3.29, 6 Pt 3.11-3.18, 2 Fe 3.18
Tm: 0.5000 0.0000 0.7566  8 Si 3.09-3.29, 6 Pt 3.11-3.18, 2 Fe 3.18
Fe: 0.5000 0.5000 0.0000  4 Si 2.40
Si: 0.0000 0.0000 0.5000  4 Pt 2.43
Si: 0.0000 0.5000 0.8726  2 Fe 2.40, 3 Pt 2.40
Si: 0.5000 0.0000 0.1274  2 Fe 2.40, 3 Pt 2.40
Si: 0.5000 0.5000 0.5000  4 Pt 2.43
Pt: 0.0000 0.0000 0.0000  4 Si 2.40
Pt: 0.0000 0.5000 0.6344  5 Si 2.40-2.43
Pt: 0.5000 0.0000 0.3656  5 Si 2.40-2.43

[5]
First-principles (GGA-PBE) data for a geometry-optimized SmBi3Pt8 structure, as listed in Alexandria.

Summary:
ΔH_f (0 K): -4.0 eV per formula unit
density of states at the Fermi level: 0.957 states/eV per atom
total magnetic moment: 0.00 μB per cell
SG: No. 156
theoretical density: 16265 kg/m³

Lattice parameters (Å, degrees): 5.5615 5.5615 8.9108 90.00 90.00 120.00
Last column: nearest neighbours and their distance in Å.
Atoms (fractional coordinates):
Sm: 0.0000 0.0000 0.0000  12 Pt 3.14-3.29, 4 Bi 3.48-3.50
Bi: 0.0000 0.0000 0.3928  6 Pt 3.02-3.22, 3 Bi 3.25
Bi: 0.6667 0.3333 0.4477  6 Pt 3.00-3.22, 3 Bi 3.25
Bi: 0.6667 0.3333 0.8504  12 Pt 3.17-3.27, 3 Sm 3.48
Pt: 0.1658 0.3315 0.6806  6 Pt 2.69-2.84
Pt: 0.1658 0.8342 0.6806  6 Pt 2.69-2.84
Pt: 0.3333 0.6667 0.4183  6 Pt 2.79-2.84
Pt: 0.3333 0.6667 0.9221  6 Pt 2.68-2.69
Pt: 0.5006 0.0012 0.1626  6 Pt 2.68-2.79, 1 Bi 3.00
Pt: 0.5006 0.4994 0.1626  6 Pt 2.68-2.79, 1 Bi 3.00
Pt: 0.6685 0.8342 0.6806  6 Pt 2.69-2.84
Pt: 0.9988 0.4994 0.1626  6 Pt 2.68-2.79, 1 Bi 3.00

[6]
First-principles (GGA-PBE) data for a geometry-optimized MnZnSb structure, as listed in Alexandria.

Summary:
density of states at the Fermi level: 0.629 states/eV per atom
formation energy (no corrections): -0.024 eV per atom
total magnetic moment: 5.29 μB per cell
SG: No. 129
theoretical density: 7509 kg/m³

Lattice parameters (Å, degrees): 4.1380 4.1380 6.2538 90.00 90.00 90.00
Last column: nearest neighbours and their distance in Å.
Atoms (fractional coordinates):
Mn: 0.2500 0.7500 0.0000  4 Zn 2.68, 4 Sb 2.75, 4 Mn 2.93
Mn: 0.7500 0.2500 0.0000  4 Zn 2.68, 4 Sb 2.75, 4 Mn 2.93
Zn: 0.2500 0.2500 0.2713  4 Mn 2.68, 5 Sb 2.74-2.93
Zn: 0.7500 0.7500 0.7287  4 Mn 2.68, 5 Sb 2.74-2.93
Sb: 0.2500 0.2500 0.7100  5 Zn 2.74-2.93, 4 Mn 2.75
Sb: 0.7500 0.7500 0.2900  5 Zn 2.74-2.93, 4 Mn 2.75

[7]
First-principles (GGA-PBE) data for a geometry-optimized Tl2ZnSi structure, as listed in Alexandria.

Summary:
density of states at the Fermi level: 0.338 states/eV per atom
formation energy (no corrections): 0.412 eV per atom
total magnetic moment: 0.00 μB per cell
SG: No. 12
theoretical density: 8548 kg/m³
offset from the most stable computed form: 1.01 eV/f.u.

Lattice parameters (Å, degrees): 4.4243 4.4243 6.8074 101.31 101.31 48.57
Last column: nearest neighbours and their distance in Å.
Atoms (fractional coordinates):
Tl: 0.2476 0.2476 0.2433  3 Si 2.89-2.94, 3 Zn 2.92-3.00
Tl: 0.7524 0.7524 0.7567  3 Si 2.89-2.94, 3 Zn 2.92-3.00
Zn: 0.0000 0.0000 0.5000  6 Tl 2.92-3.00
Si: 0.5000 0.5000 0.0000  6 Tl 2.89-2.94

[8]
First-principles (GGA-PBE) data for a geometry-optimized Ta2SiCl structure, as listed in Alexandria.

Summary:
density of states at the Fermi level: 0.716 states/eV per atom
formation energy (no corrections): 0.114 eV per atom
total magnetic moment: 0.00 μB per cell
SG: No. 8
theoretical density: 10578 kg/m³
offset from the most stable computed form: 0.82 eV/f.u.

Lattice parameters (Å, degrees): 4.9760 4.9760 4.7650 104.50 104.50 35.92
Last column: nearest neighbours and their distance in Å.
Atoms (fractional coordinates):
Ta: 0.0000 0.0000 0.0000  3 Cl 2.71-2.82, 4 Si 2.77-2.92, 2 Ta 2.94
Ta: 0.7419 0.7419 0.3730  2 Cl 2.55, 3 Si 2.63-2.68
Si: 0.4750 0.4750 0.4675  7 Ta 2.63-2.92
Cl: 0.2437 0.2437 0.8020  5 Ta 2.55-2.82

[9]
First-principles (GGA-PBE) data for a geometry-optimized ReSiPt2 structure, as listed in Alexandria.

Summary:
density of states at the Fermi level: 1.044 states/eV per atom
formation energy (no corrections): -0.071 eV per atom
total magnetic moment: 0.00 μB per cell
SG: No. 123
theoretical density: 17094 kg/m³

Lattice parameters (Å, degrees): 2.7909 2.7909 7.5383 90.00 90.00 90.00
Last column: nearest neighbours and their distance in Å.
Atoms (fractional coordinates):
Re: 0.0000 0.0000 0.0000  4 Re 2.79, 8 Pt 2.81
Si: 0.0000 0.0000 0.5000  8 Pt 2.65, 4 Si 2.79
Pt: 0.5000 0.5000 0.2661  4 Si 2.65, 4 Pt 2.79, 4 Re 2.81
Pt: 0.5000 0.5000 0.7339  4 Si 2.65, 4 Pt 2.79, 4 Re 2.81

[10]
First-principles (GGA-PBE) data for a geometry-optimized Sm4Dy2Sc structure, as listed in Alexandria.

Summary:
ΔH_f (0 K): 1.0 eV per formula unit
density of states at the Fermi level: 1.582 states/eV per atom
total magnetic moment: 0.00 μB per cell
SG: No. 11
theoretical density: 7238 kg/m³
offset from the most stable computed form: 0.48 eV/f.u.

Lattice parameters (Å, degrees): 6.1183 6.5850 11.4459 90.00 104.86 90.00
Last column: nearest neighbours and their distance in Å.
Atoms (fractional coordinates):
Sm: 0.0439 0.2500 0.3710  3 Sc 3.25-3.48, 3 Dy 3.32-3.41, 2 Sm 3.39
Sm: 0.1516 0.2500 0.9448  1 Sc 3.20, 4 Dy 3.39-3.42, 4 Sm 3.48-3.56
Sm: 0.3575 0.5096 0.2155  4 Sm 3.17-3.48, 1 Sc 3.39, 1 Dy 3.46
Sm: 0.3575 0.9904 0.2155  4 Sm 3.17-3.48, 1 Sc 3.39, 1 Dy 3.46
Sm: 0.6425 0.0096 0.7845  4 Sm 3.17-3.48, 1 Sc 3.39, 1 Dy 3.46
Sm: 0.6425 0.4904 0.7845  4 Sm 3.17-3.48, 1 Sc 3.39, 1 Dy 3.46
Sm: 0.8484 0.7500 0.0552  1 Sc 3.20, 4 Dy 3.39-3.42, 4 Sm 3.48-3.56
Sm: 0.9561 0.7500 0.6290  3 Sc 3.25-3.48, 3 Dy 3.32-3.41, 2 Sm 3.39
Dy: 0.2811 0.7500 0.9200  9 Sm 3.39-3.65
Dy: 0.3869 0.7500 0.5025  6 Sm 3.32-3.63, 1 Sc 3.33, 2 Dy 3.58
Dy: 0.6131 0.2500 0.4975  6 Sm 3.32-3.63, 1 Sc 3.33, 2 Dy 3.58
Dy: 0.7189 0.2500 0.0800  9 Sm 3.39-3.65
Sc: 0.1465 0.2500 0.6642  6 Sm 3.20-3.48, 1 Dy 3.33
Sc: 0.8535 0.7500 0.3358  6 Sm 3.20-3.48, 1 Dy 3.33

[11]
First-principles (GGA-PBE) data for a geometry-optimized In3CuIr structure, as listed in Alexandria.

Summary:
ΔH_f (0 K): 1.3 eV per formula unit
density of states at the Fermi level: 0.439 states/eV per atom
total magnetic moment: 0.00 μB per cell
SG: No. 221
theoretical density: 7253 kg/m³
offset from the most stable computed form: 0.00 eV/f.u.

Lattice parameters (Å, degrees): 5.1603 5.1603 5.1603 90.00 90.00 90.00
Last column: nearest neighbours and their distance in Å.
Atoms (fractional coordinates):
In: 0.0000 0.0000 0.5000  2 Ir 2.58
In: 0.0000 0.5000 0.0000  2 Ir 2.58
In: 0.5000 0.0000 0.0000  2 Ir 2.58
Cu: 0.5000 0.5000 0.5000  12 In 3.65
Ir: 0.0000 0.0000 0.0000  6 In 2.58

[12]
First-principles (GGA-PBE) data for a geometry-optimized GdTl2Cd structure, as listed in Alexandria.

Summary:
ΔH_f (0 K): 0.5 eV per formula unit
density of states at the Fermi level: 0.941 states/eV per atom
total magnetic moment: 7.49 μB per cell
SG: No. 166
theoretical density: 9371 kg/m³
offset from the most stable computed form: 1.52 eV/f.u.

Lattice parameters (Å, degrees): 11.5649 11.5649 11.5649 17.36 17.36 17.36
Last column: nearest neighbours and their distance in Å.
Atoms (fractional coordinates):
Gd: 0.0000 0.0000 0.0000  2 Tl 3.16, 6 Gd 3.49
Tl: 0.0925 0.0925 0.0925  1 Gd 3.16, 3 Cd 3.24, 6 Tl 3.49
Tl: 0.9075 0.9075 0.9075  1 Gd 3.16, 3 Cd 3.24, 6 Tl 3.49
Cd: 0.5000 0.5000 0.5000  6 Tl 3.24, 6 Cd 3.49

Question: Look up the total magnetic moment of the fifth one.
Answer: 0.00 μB per cell